(1)
Density functional theory data (PBE) for crystalline PmCd5Ag7 at its relaxed geometry.

Cell lengths 5.662, 7.469, 7.469 Å; angles 82.06, 67.72, 67.72 degrees
Atoms (fractional coordinates):
Pm: 0.993 0.007 0.007
Cd: 0.502 0.002 0.493
Cd: 0.002 0.002 0.493
Cd: 0.502 0.493 0.002
Cd: 0.002 0.493 0.002
Cd: 0.711 0.789 0.789
Ag: 0.644 0.356 0.356
Ag: 0.343 0.657 0.657
Ag: 0.002 0.348 0.648
Ag: 0.002 0.648 0.348
Ag: 0.293 0.207 0.207
Ag: 0.502 0.782 0.214
Ag: 0.502 0.214 0.782

Results
Raw total energy in eV per cell: -30.29
DOS at the Fermi energy in states/eV/atom: 0.3959
M_tot in μB/atom: 0.000
Theoretical density in g/cm3: 9.0

(2)
Density functional theory data (PBE) for crystalline Pm2CdAg at its relaxed geometry.

Cell lengths 5.348, 5.348, 5.348 Å; angles 60.00, 60.00, 60.00 degrees
Atoms (fractional coordinates):
Cd: 0.500 0.500 0.500
Ag: 0.000 0.000 0.000
Pm: 0.250 0.250 0.250
Pm: 0.750 0.750 0.750

Results
Raw total energy in eV per cell: -14.40
DOS at the Fermi energy in states/eV/atom: 0.9580
M_tot in μB/atom: 0.038
Theoretical density in g/cm3: 7.8

(3)
Density functional theory data (PBE) for crystalline Pm2Cd3Ag at its relaxed geometry.

Cell lengths 6.076, 6.076, 9.338 Å; angles 101.85, 101.85, 111.63 degrees
Atoms (fractional coordinates):
Pm: 0.250 0.750 0.500
Pm: 0.747 0.747 0.000
Pm: 0.750 0.250 0.500
Pm: 0.253 0.253 0.000
Cd: 0.664 0.168 0.832
Cd: 0.832 0.336 0.168
Cd: 0.336 0.832 0.168
Cd: 0.168 0.664 0.832
Cd: 0.832 0.832 0.665
Cd: 0.168 0.168 0.335
Ag: 0.333 0.333 0.667
Ag: 0.667 0.667 0.333

Results
Raw total energy in eV per cell: -34.10
DOS at the Fermi energy in states/eV/atom: 0.6509
M_tot in μB/atom: 0.000
Theoretical density in g/cm3: 8.2

(4)
Density functional theory data (PBE) for crystalline Pm6CdAg3 at its relaxed geometry.

Cell lengths 5.185, 9.323, 12.189 Å; angles 104.63, 90.00, 90.00 degrees
Atoms (fractional coordinates):
Pm: 0.250 0.519 0.108
Pm: 0.750 0.481 0.892
Pm: 0.250 0.122 0.160
Pm: 0.750 0.878 0.840
Pm: 0.250 0.651 0.715
Pm: 0.750 0.349 0.285
Pm: 0.250 0.287 0.487
Pm: 0.750 0.713 0.513
Pm: 0.250 0.867 0.348
Pm: 0.750 0.133 0.652
Pm: 0.250 0.140 0.892
Pm: 0.750 0.860 0.108
Cd: 0.250 0.941 0.631
Cd: 0.750 0.059 0.369
Ag: 0.250 0.541 0.366
Ag: 0.750 0.459 0.634
Ag: 0.250 0.340 0.741
Ag: 0.750 0.660 0.259
Ag: 0.250 0.779 0.971
Ag: 0.750 0.221 0.029

Results
Raw total energy in eV per cell: -79.36
DOS at the Fermi energy in states/eV/atom: 0.9242
M_tot in μB/atom: 0.000
Theoretical density in g/cm3: 7.6

(5)
Density functional theory data (PBE) for crystalline PmPuCdAg at its relaxed geometry.

Cell lengths 5.325, 5.325, 5.325 Å; angles 60.00, 60.00, 60.00 degrees
Each line ends with the local moment (μB).
Atoms (fractional coordinates):
Cd: 0.250 0.250 0.250  0.02
Pm: 0.000 0.000 0.000  0.16
Ag: 0.750 0.750 0.750  0.03
Pu: 0.500 0.500 0.500  5.49

Results
Raw total energy in eV per cell: -23.07
DOS at the Fermi energy in states/eV/atom: 3.0541
M_tot in μB/atom: 1.546
Theoretical density in g/cm3: 9.5

(6)
Density functional theory data (PBE) for crystalline Pm4CdAg2Rh at its relaxed geometry.

Cell lengths 5.257, 5.257, 8.985 Å; angles 72.99, 72.99, 60.00 degrees
Atoms (fractional coordinates):
Pm: 0.385 0.385 0.844
Pm: 0.868 0.868 0.397
Pm: 0.132 0.132 0.603
Pm: 0.615 0.615 0.156
Cd: 0.000 0.000 0.000
Ag: 0.740 0.740 0.781
Ag: 0.260 0.260 0.219
Rh: 0.500 0.500 0.500

Results
Raw total energy in eV per cell: -36.24
DOS at the Fermi energy in states/eV/atom: 0.6752
M_tot in μB/atom: 0.000
Theoretical density in g/cm3: 8.3